No. 1
MgTiPt | GGA-PBE | relaxed

Summary:
Energy of formation = -0.51 eV per atom
Volume = 16.40 Å³ per atom
E_tot = -17.05 eV/cell
SG = No. 156
D(E_F) = 3.54 states/eV per cell

a b c (Å): 4.492 4.492 2.816
angles (deg): 90.00 90.00 120.00
Fractional coordinates of all 3 atoms:
Mg (0.000, 0.000, 0.000)
Ti (0.333, 0.667, 0.409)
Pt (0.667, 0.333, 0.695)

No. 2
NaPmNd2 | GGA-PBE | relaxed

Summary:
Energy of formation = 0.10 eV per atom
Volume = 35.66 Å³ per atom
E_tot = -15.21 eV/cell
ΔE to the lowest computed polymorph = 0.005 eV/f.u.
SG = No. 160
D(E_F) = 4.93 states/eV per cell

a b c (Å): 12.479 12.479 12.479
angles (deg): 16.86 16.86 16.86
Fractional coordinates of all 4 atoms:
Na (0.000, 0.000, 0.000)
Pm (0.833, 0.833, 0.833)
Nd (0.420, 0.420, 0.420)
Nd (0.580, 0.580, 0.580)

No. 3
CdPd4Au2 | GGA-PBE | relaxed

Summary:
Energy of formation = 0.66 eV per atom
Volume = 23.06 Å³ per atom
E_tot = -23.60 eV/cell
ΔE to the lowest computed polymorph = 5.367 eV/f.u.
SG = No. 139
D(E_F) = 3.98 states/eV per cell

a b c (Å): 7.484 7.484 7.484
angles (deg): 141.47 141.47 55.62
Fractional coordinates of all 7 atoms:
Cd (0.000, 0.000, 0.000)
Pd (0.000, 0.500, 0.500)
Pd (0.197, 0.197, 0.000)
Pd (0.500, 0.000, 0.500)
Pd (0.803, 0.803, 0.000)
Au (0.395, 0.395, 0.000)
Au (0.605, 0.605, 0.000)